This record from the Alexandria database describes a geometry-optimized SrAgSnAs2 structure. The functional is GGA-PBE.

a = 7.0972 Å, b = 7.0972 Å, c = 8.8409 Å
α = 102.47°, β = 102.47°, γ = 41.64°
Positions (direct):
Sr 0.1590 0.1590 0.2185
Sr 0.8410 0.8410 0.7815
Ag 0.1594 0.1594 0.5922
Ag 0.8406 0.8406 0.4078
Sn 0.4407 0.4407 0.2713
Sn 0.5593 0.5593 0.7287
As 0.1010 0.1010 0.8549
As 0.3614 0.3614 0.5537
As 0.6386 0.6386 0.4463
As 0.8990 0.8990 0.1451

Calculated values
As for the space group: C2/m (12).

---

This record from the Alexandria database describes a geometry-optimized CaAcInGe structure. The functional is GGA-PBE.

a = 4.3549 Å, b = 6.4361 Å, c = 6.4361 Å
α = 43.32°, β = 90.00°, γ = 90.00°
Positions (direct):
Ca 0.0000 0.0000 0.0000
Ac 0.5000 0.2767 0.2767
In 0.5000 0.5607 0.5607
Ge 0.0000 0.7155 0.7155

Calculated values
The calculation puts the polymorph energy (0 for the lowest one) at 0.0000 eV/atom. As for the space group: Amm2 (38).

---

This record from the Alexandria database describes a geometry-optimized Rb2NaCd structure. The functional is GGA-PBE.

a = 12.7366 Å, b = 12.7366 Å, c = 12.7366 Å
α = 20.55°, β = 20.55°, γ = 20.55°
Positions (direct):
Rb 0.0000 0.0000 0.0000
Rb 0.1861 0.1861 0.1861
Na 0.4264 0.4264 0.4264
Cd 0.5930 0.5930 0.5930

Calculated values
As for the space group: R3m (160).

---

This record from the Alexandria database describes a geometry-optimized Sm5DyTl4 structure. The functional is GGA-PBE.

a = 3.6651 Å, b = 3.6651 Å, c = 22.1667 Å
α = 90.00°, β = 90.00°, γ = 90.00°
Positions (direct):
Sm 0.0000 0.0000 0.0000
Sm 0.0000 0.0000 0.1939
Sm 0.0000 0.0000 0.3867
Sm 0.0000 0.0000 0.6133
Sm 0.0000 0.0000 0.8061
Dy 0.5000 0.5000 0.5000
Tl 0.5000 0.5000 0.0968
Tl 0.5000 0.5000 0.2904
Tl 0.5000 0.5000 0.7096
Tl 0.5000 0.5000 0.9032

Calculated values
The calculation puts the polymorph energy (0 for the lowest one) at 0.0000 eV/atom. As for the space group: P4/mmm (123).

---

This record from the Alexandria database describes a geometry-optimized Li2TmHg2 structure. The functional is GGA-PBE.

a = 8.4367 Å, b = 8.4367 Å, c = 3.5156 Å
α = 101.44°, β = 101.44°, γ = 25.20°
Positions (direct):
Li 0.2024 0.2024 0.2007
Li 0.7976 0.7976 0.7993
Tm 0.0000 0.0000 0.0000
Hg 0.3848 0.3848 0.3879
Hg 0.6152 0.6152 0.6121

Calculated values
The calculation puts the polymorph energy (0 for the lowest one) at 0.0000 eV/atom. As for the space group: C2/m (12).

---

This record from the Alexandria database describes a geometry-optimized LaCeY2P4 structure. The functional is GGA-PBE.

a = 7.0827 Å, b = 4.0996 Å, c = 7.1077 Å
α = 90.00°, β = 109.45°, γ = 90.00°
Positions (direct):
La 0.0000 0.0000 0.0000
Ce 0.0000 0.5000 0.5000
Y 0.5000 0.0000 0.5000
Y 0.5000 0.5000 0.0000
P 0.2558 0.0000 0.7467
P 0.2588 0.5000 0.2591
P 0.7412 0.5000 0.7409
P 0.7442 0.0000 0.2533

Calculated values
As for the space group: P2/m (10).

---

This record from the Alexandria database describes a geometry-optimized AcSm2YEr5 structure. The functional is GGA-PBE.

a = 9.8908 Å, b = 9.8908 Å, c = 9.8908 Å
α = 126.68°, β = 126.68°, γ = 78.77°
Positions (direct):
Ac 0.2500 0.2500 0.0000
Ac 0.7500 0.7500 0.0000
Sm 0.1151 0.6151 0.7302
Sm 0.3849 0.1151 0.5000
Sm 0.6151 0.8849 0.5000
Sm 0.8849 0.3849 0.2698
Y 0.2500 0.7500 0.5000
Y 0.7500 0.2500 0.5000
Er 0.0000 0.0000 0.0000
Er 0.0756 0.1632 0.5000
Er 0.1632 0.6632 0.0875
Er 0.3368 0.4244 0.5000
Er 0.4244 0.9244 0.0875
Er 0.5000 0.5000 0.0000
Er 0.5756 0.0756 0.9125
Er 0.6632 0.5756 0.5000
Er 0.8368 0.3368 0.9125
Er 0.9244 0.8368 0.5000

Calculated values
As for the space group: I4/mcm (140).

---

This record from the Alexandria database describes a geometry-optimized NaHg2As2 structure. The functional is GGA-PBE.

a = 8.0607 Å, b = 8.0607 Å, c = 3.5721 Å
α = 90.00°, β = 90.00°, γ = 90.00°
Positions (direct):
Na 0.0000 0.0000 0.0000
Na 0.5000 0.5000 0.0000
Hg 0.1327 0.3673 0.0000
Hg 0.3673 0.8673 0.0000
Hg 0.6327 0.1327 0.0000
Hg 0.8673 0.6327 0.0000
As 0.1746 0.6746 0.5000
As 0.3253 0.1746 0.5000
As 0.6746 0.8254 0.5000
As 0.8254 0.3253 0.5000

Calculated values
The calculation puts the polymorph energy (0 for the lowest one) at 0.1001 eV/atom. As for the space group: P4/mbm (127).

---

Number 1: density 5.4 g cm⁻³, total DFT energy (no corrections) -3.923 eV/atom. Number 2: density 6.1 g cm⁻³, total DFT energy (no corrections) -3.942 eV/atom. Number 3: density 2.3 g cm⁻³, total DFT energy (no corrections) -0.942 eV/atom. Number 4: density 9.7 g cm⁻³, total DFT energy (no corrections) -4.054 eV/atom. Number 5: density 9.3 g cm⁻³, total DFT energy (no corrections) -2.142 eV/atom. Number 6: density 5.0 g cm⁻³, total DFT energy (no corrections) -7.255 eV/atom. Number 7: density 8.0 g cm⁻³, total DFT energy (no corrections) -4.495 eV/atom. Number 8: density 8.2 g cm⁻³, total DFT energy (no corrections) -2.135 eV/atom.